VASP calculation (PBE+U) on crystalline ErIn2FeO6 at its relaxed geometry.

- theoretical density (g/cm³) = 7.10
- DOS(E_F) (states/eV per atom) = 0.00
- V (Å³/atom) = 12.84
- total energy (eV/atom) = -6.553

a b c (Å): 5.5023 5.5023 14.6940
angles (deg): 90.00 90.00 120.00
Space group R3 (No. 146, hexagonal axes)
One atom of each set of equivalent atoms:
Er 0.0000 0.0000 0.0000 (multiplicity 3)
In 0.0000 0.0000 0.2142 (multiplicity 3)
In 0.0000 0.0000 0.7191 (multiplicity 3)
Fe 0.0000 0.0000 0.5078 (multiplicity 3)
O 0.0116 0.3689 0.7765 (multiplicity 9)
O 0.0481 0.6684 0.2711 (multiplicity 9)